Compound: KIn2Cl3
Source: Alexandria via LeMat-Bulk
Functional: PBE
Structure: relaxed

Cell lengths 4.1638, 8.3598, 11.0300 Å; angles 90.00, 90.00, 90.00 degrees
Positions (direct):
Cl 0.0000 0.8386 0.6162
Cl 0.0000 0.3386 0.3838
In 0.0000 0.5046 0.7381
K 0.0000 0.4769 0.1122
K 0.0000 0.9769 0.8878
Cl 0.5000 0.6509 0.9115
In 0.5000 0.5392 0.4822
In 0.5000 0.0392 0.5178
Cl 0.5000 0.1509 0.0885
In 0.0000 0.0046 0.2619
Cl 0.5000 0.6911 0.2636
Cl 0.5000 0.1911 0.7364

Values from the calculation:
* uncorrected formation energy: -1.167 eV/atom

Compound: Eu2GaH
Source: Alexandria via LeMat-Bulk
Functional: PBE
Structure: relaxed

Cell lengths 3.8271, 3.8271, 7.8100 Å; angles 75.82, 75.82, 60.00 degrees
Each line ends with the local moment (μB).
Positions (direct):
H 0.5000 0.5000 0.5000  -0.03
Eu 0.2333 0.2333 0.3000  6.95
Ga 0.0000 0.0000 0.0000  0.00
Eu 0.7667 0.7667 0.7000  6.95

no.,VASP energy (eV for the cell shown),total magnetization (μB/f.u.),energy above the lowest structure with this stoichiometry (meV/atom)
1,-38.2,0.0,12
2,-28.2,14.7,0